i) The following is a DFT calculation (GGA+U) of a relaxed NaTbMnWO6 crystal.

abc: 5.663 5.663 5.663
angles: 60.00 60.00 60.00
Each line ends with the local moment (μB).
Atoms (fractional coordinates):
O 0.741 0.259 0.259  0.02
O 0.259 0.259 0.741  0.02
O 0.259 0.741 0.741  0.02
O 0.741 0.259 0.741  0.02
O 0.741 0.741 0.259  0.02
O 0.259 0.741 0.259  0.02
Na 0.250 0.250 0.250  0.00
Mn 0.000 0.000 0.000  4.57
Tb 0.750 0.750 0.750  0.00
W 0.500 0.500 0.500  0.13

The spin magnetization comes out at 5.00 μB per formula unit. The volume comes out at 128 Å³ per cell.

ii) The following is a DFT calculation (GGA+U) of a relaxed NaTbMnWO6 crystal.

abc: 5.675 5.484 8.002
angles: 89.92 90.00 90.00
Each line ends with the local moment (μB).
Atoms (fractional coordinates):
O 0.610 0.937 0.774  0.01
O 0.000 0.568 0.322  0.01
O 0.580 0.910 0.217  0.01
O 0.500 0.432 0.678  0.01
O 0.080 0.090 0.783  0.01
O 0.110 0.063 0.226  0.01
O 0.316 0.863 0.494  0.02
O 0.967 0.530 0.680  0.02
O 0.735 0.328 0.979  0.00
O 0.467 0.470 0.320  0.02
O 0.235 0.672 0.021  0.00
O 0.816 0.137 0.506  0.02
Tb 0.709 0.734 0.502  0.00
Tb 0.209 0.266 0.498  0.00
Mn 0.266 0.752 0.759  4.61
Mn 0.766 0.248 0.241  4.61
Na 0.305 0.253 0.999  0.00
Na 0.805 0.747 0.001  0.00
W 0.775 0.237 0.755  0.12
W 0.275 0.763 0.245  0.12

The spin magnetization comes out at 5.00 μB per formula unit. The volume comes out at 249 Å³ per cell.

ii) comes first in stability; the runner-up is 272 meV/atom higher.